Density functional theory data (PBE-GGA) for a relaxed BaPtSO crystal.

Unit cell a=7.2133 b=7.5906 c=6.2296 alpha=90.00 beta=90.00 gamma=90.00
Last column: nearest neighbours and their distance in Å.
Fractional positions:
Ba1 0.0764 0.1688 0.0000  3 O 2.61-2.66
Ba2 0.4236 0.1688 0.5000  3 O 2.61-2.66
Ba3 0.5764 0.8312 0.0000  3 O 2.61-2.66
Ba4 0.9236 0.8312 0.5000  3 O 2.61-2.66
Pt1 0.1093 0.6534 0.9917  1 O 2.08, 1 S 2.29
Pt2 0.3907 0.6534 0.4917  1 O 2.08, 1 S 2.29
Pt3 0.6093 0.3466 0.9917  1 O 2.08, 1 S 2.29
Pt4 0.8907 0.3466 0.4917  1 O 2.08, 1 S 2.29
S1 0.1580 0.5067 0.6681  3 Pt 2.29-2.53
S2 0.3420 0.5067 0.1681  3 Pt 2.29-2.53
S3 0.6580 0.4933 0.6681  3 Pt 2.29-2.53
S4 0.8420 0.4933 0.1681  3 Pt 2.29-2.53
O1 0.0695 0.1394 0.4250  1 Pt 2.08
O2 0.4305 0.1394 0.9250  1 Pt 2.08
O3 0.5695 0.8606 0.4250  1 Pt 2.08
O4 0.9305 0.8606 0.9250  1 Pt 2.08

The value obtained for the polymorph energy (0 for the lowest one) is 90 meV per atom. The space-group type is Pca2_1 (29). The total energy is -5.523 eV/atom.